Density functional theory data (PBE) for a relaxed structure of GdSi.

Its uncorrected formation energy is -805 meV/atom. The value obtained for the density of states at the Fermi level is 7.0 states/eV/cell.

Cell lengths 3.8880, 5.7506, 7.9728 Å; angles 90.00, 90.00, 90.00 degrees
Sites, in units of the cell vectors:
Gd  0.7500  0.8847  0.3204
Si  0.2500  0.8754  0.0356
Si  0.7500  0.3754  0.4644
Si  0.2500  0.6246  0.5356
Gd  0.7500  0.6153  0.8204
Gd  0.2500  0.3847  0.1796
Gd  0.2500  0.1153  0.6796
Si  0.7500  0.1246  0.9644